DFT (PBE-GGA) results for crystalline Cr2RuPt at its relaxed geometry.

Calculated values
SG: Cmmm (65)
Formation enthalpy at 0 K, eV per atom: -0.035
D(E_F), states/eV/atom: 0.9844

a = 5.9754 Å, b = 4.5771 Å, c = 2.6685 Å
α = 89.95°, β = 63.56°, γ = 121.53°
Sites, in units of the cell vectors:
1 Ru 0.5000 0.5000 0.0000
2 Cr 0.0000 0.0000 0.0000
3 Cr 0.5000 0.0000 0.5000
4 Pt 0.0000 0.5000 0.5000